No. 1
# YSbIr3 | Alexandria via LeMat-Bulk | PBE-GGA | relaxed
# * volume: 114.4 Å³/f.u.
# * SG: Pm-3m (221)
# * total magnetization: 0.00 μB/f.u.
# * final energy: -6.754 eV/atom
data_YSbIr3
_chemical_formula_sum 'Y1 Sb1 Ir3'
_cell_length_a 4.854
_cell_length_b 4.854
_cell_length_c 4.854
_cell_angle_alpha 90.00
_cell_angle_beta 90.00
_cell_angle_gamma 90.00
_symmetry_space_group_name_H-M 'P 1'
_symmetry_Int_Tables_number 1
_symmetry_space_group_name_Hall 'P 1'
loop_
_atom_site_label
_atom_site_fract_x
_atom_site_fract_y
_atom_site_fract_z
Y1 0.000 0.000 0.000
Sb1 0.500 0.500 0.500
Ir1 0.000 0.500 0.500
Ir2 0.500 0.000 0.500
Ir3 0.500 0.500 0.000

No. 2
# HfZn2Pd8 | Alexandria via LeMat-Bulk | PBE-GGA | relaxed
# * energy of formation from the pure elements: -0.525 eV per atom
# * volume: 170.2 Å³/f.u.
# * SG: C2/m (12)
# * total magnetization: 0.00 μB/f.u.
# * final energy: -5.438 eV/atom
data_HfZn2Pd8
_chemical_formula_sum 'Hf1 Zn2 Pd8'
_cell_length_a 7.302
_cell_length_b 7.302
_cell_length_c 6.268
_cell_angle_alpha 107.14
_cell_angle_beta 107.14
_cell_angle_gamma 32.35
_symmetry_space_group_name_H-M 'P 1'
_symmetry_Int_Tables_number 1
_symmetry_space_group_name_Hall 'P 1'
loop_
_atom_site_label
_atom_site_fract_x
_atom_site_fract_y
_atom_site_fract_z
Hf1 0.000 0.000 0.000
Zn1 0.278 0.278 0.352
Zn2 0.722 0.722 0.648
Pd1 0.099 0.099 0.462
Pd2 0.181 0.181 0.924
Pd3 0.357 0.357 0.802
Pd4 0.457 0.457 0.271
Pd5 0.543 0.543 0.729
Pd6 0.643 0.643 0.198
Pd7 0.819 0.819 0.076
Pd8 0.901 0.901 0.538

No. 3
# Rb2BaCaI6 | Alexandria via LeMat-Bulk | PBE-GGA | relaxed
# * volume: 542.1 Å³/f.u.
# * SG: Fm-3m (225)
# * total magnetization: 0.00 μB/f.u.
# * final energy: -3.064 eV/atom
data_Rb2BaCaI6
_chemical_formula_sum 'Rb2 Ba1 Ca1 I6'
_cell_length_a 9.152
_cell_length_b 9.152
_cell_length_c 9.152
_cell_angle_alpha 60.00
_cell_angle_beta 60.00
_cell_angle_gamma 60.00
_symmetry_space_group_name_H-M 'P 1'
_symmetry_Int_Tables_number 1
_symmetry_space_group_name_Hall 'P 1'
loop_
_atom_site_label
_atom_site_fract_x
_atom_site_fract_y
_atom_site_fract_z
Rb1 0.250 0.250 0.250
Rb2 0.750 0.750 0.750
Ba1 0.000 0.000 0.000
Ca1 0.500 0.500 0.500
I1 0.260 0.260 0.740
I2 0.260 0.740 0.260
I3 0.260 0.740 0.740
I4 0.740 0.260 0.260
I5 0.740 0.260 0.740
I6 0.740 0.740 0.260

No. 4
# Pr2Nd4Hg | Alexandria via LeMat-Bulk | PBE-GGA | relaxed
# * energy of formation from the pure elements: -0.038 eV per atom
# * volume: 242.0 Å³/f.u.
# * SG: C2/m (12)
# * total magnetization: 0.00 μB/f.u.
# * final energy: -4.171 eV/atom
data_Pr2Nd4Hg
_chemical_formula_sum 'Pr2 Nd4 Hg1'
_cell_length_a 8.810
_cell_length_b 8.810
_cell_length_c 8.405
_cell_angle_alpha 115.58
_cell_angle_beta 115.58
_cell_angle_gamma 24.42
_symmetry_space_group_name_H-M 'P 1'
_symmetry_Int_Tables_number 1
_symmetry_space_group_name_Hall 'P 1'
loop_
_atom_site_label
_atom_site_fract_x
_atom_site_fract_y
_atom_site_fract_z
Pr1 0.211 0.211 0.126
Pr2 0.789 0.789 0.874
Nd1 0.147 0.147 0.475
Nd2 0.443 0.443 0.256
Nd3 0.557 0.557 0.744
Nd4 0.853 0.853 0.525
Hg1 0.000 0.000 0.000

No. 5
# Ho2Ga3Pt5 | Alexandria via LeMat-Bulk | PBE-GGA | relaxed
# * energy of formation from the pure elements: -0.968 eV per atom
# * volume: 176.8 Å³/f.u.
# * SG: Cmc2_1 (36)
# * total magnetization: 0.00 μB/f.u.
# * final energy: -5.812 eV/atom
data_Ho2Ga3Pt5
_chemical_formula_sum 'Ho4 Ga6 Pt10'
_cell_length_a 12.656
_cell_length_b 12.656
_cell_length_c 6.817
_cell_angle_alpha 90.00
_cell_angle_beta 90.00
_cell_angle_gamma 161.11
_symmetry_space_group_name_H-M 'P 1'
_symmetry_Int_Tables_number 1
_symmetry_space_group_name_Hall 'P 1'
loop_
_atom_site_label
_atom_site_fract_x
_atom_site_fract_y
_atom_site_fract_z
Ho1 0.026 0.974 0.500
Ho2 0.324 0.676 0.549
Ho3 0.676 0.324 0.049
Ho4 0.974 0.026 0.000
Ga1 0.125 0.875 0.735
Ga2 0.285 0.715 0.094
Ga3 0.458 0.542 0.689
Ga4 0.542 0.458 0.189
Ga5 0.715 0.285 0.594
Ga6 0.875 0.125 0.235
Pt1 0.098 0.902 0.138
Pt2 0.195 0.805 0.356
Pt3 0.226 0.774 0.796
Pt4 0.384 0.616 0.959
Pt5 0.444 0.556 0.318
Pt6 0.556 0.444 0.818
Pt7 0.616 0.384 0.459
Pt8 0.774 0.226 0.296
Pt9 0.805 0.195 0.856
Pt10 0.902 0.098 0.638

No. 6
# SbTe2P | Alexandria via LeMat-Bulk | PBE-GGA | relaxed
# * volume: 98.1 Å³/f.u.
# * SG: P4/mmm (123)
# * total magnetization: 0.00 μB/f.u.
# * final energy: -3.482 eV/atom
data_SbTe2P
_chemical_formula_sum 'Sb1 Te2 P1'
_cell_length_a 3.621
_cell_length_b 3.621
_cell_length_c 7.485
_cell_angle_alpha 90.00
_cell_angle_beta 90.00
_cell_angle_gamma 90.00
_symmetry_space_group_name_H-M 'P 1'
_symmetry_Int_Tables_number 1
_symmetry_space_group_name_Hall 'P 1'
loop_
_atom_site_label
_atom_site_fract_x
_atom_site_fract_y
_atom_site_fract_z
Sb1 0.000 0.000 0.000
Te1 0.500 0.500 0.278
Te2 0.500 0.500 0.722
P1 0.000 0.000 0.500

No. 7
# Ce8Sb3Te4Pb | Alexandria via LeMat-Bulk | PBE-GGA | relaxed
# * volume: 520.3 Å³/f.u.
# * SG: C2/m (12)
# * total magnetization: 8.39 μB/f.u.
# * final energy: -5.905 eV/atom
data_Ce8Sb3Te4Pb
_chemical_formula_sum 'Ce8 Sb3 Te4 Pb1'
_cell_length_a 8.999
_cell_length_b 8.999
_cell_length_c 8.996
_cell_angle_alpha 119.56
_cell_angle_beta 119.56
_cell_angle_gamma 60.44
_symmetry_space_group_name_H-M 'P 1'
_symmetry_Int_Tables_number 1
_symmetry_space_group_name_Hall 'P 1'
loop_
_atom_site_label
_atom_site_fract_x
_atom_site_fract_y
_atom_site_fract_z
Ce1 0.247 0.749 0.750
Ce2 0.248 0.248 0.251
Ce3 0.250 0.250 0.747
Ce4 0.251 0.753 0.250
Ce5 0.749 0.247 0.750
Ce6 0.750 0.750 0.253
Ce7 0.752 0.752 0.749
Ce8 0.753 0.251 0.250
Sb1 0.000 0.000 0.000
Sb2 0.000 0.500 0.500
Sb3 0.500 0.000 0.500
Te1 0.000 0.000 0.500
Te2 0.000 0.500 0.000
Te3 0.500 0.000 0.000
Te4 0.500 0.500 0.500
Pb1 0.500 0.500 0.000

No. 8
# ScZnSi2Rh | Alexandria via LeMat-Bulk | PBE-GGA | relaxed
# * volume: 94.1 Å³/f.u.
# * SG: P4/mmm (123)
# * total magnetization: 0.00 μB/f.u.
# * final energy: -4.721 eV/atom
data_ScZnSi2Rh
_chemical_formula_sum 'Sc1 Zn1 Si2 Rh1'
_cell_length_a 4.516
_cell_length_b 4.516
_cell_length_c 4.616
_cell_angle_alpha 90.00
_cell_angle_beta 90.00
_cell_angle_gamma 90.00
_symmetry_space_group_name_H-M 'P 1'
_symmetry_Int_Tables_number 1
_symmetry_space_group_name_Hall 'P 1'
loop_
_atom_site_label
_atom_site_fract_x
_atom_site_fract_y
_atom_site_fract_z
Sc1 0.000 0.000 0.000
Zn1 0.500 0.500 0.500
Si1 0.000 0.500 0.500
Si2 0.500 0.000 0.500
Rh1 0.500 0.500 0.000

No. 9
# Li6Sn2Pd | Alexandria via LeMat-Bulk | PBE-GGA | relaxed
# * energy of formation from the pure elements: -0.399 eV per atom
# * volume: 156.3 Å³/f.u.
# * SG: Pnnm (58)
# * total magnetization: 0.00 μB/f.u.
# * final energy: -3.141 eV/atom
data_Li6Sn2Pd
_chemical_formula_sum 'Li12 Sn4 Pd2'
_cell_length_a 8.591
_cell_length_b 8.623
_cell_length_c 4.221
_cell_angle_alpha 90.00
_cell_angle_beta 90.00
_cell_angle_gamma 90.00
_symmetry_space_group_name_H-M 'P 1'
_symmetry_Int_Tables_number 1
_symmetry_space_group_name_Hall 'P 1'
loop_
_atom_site_label
_atom_site_fract_x
_atom_site_fract_y
_atom_site_fract_z
Li1 0.013 0.183 0.000
Li2 0.149 0.684 0.500
Li3 0.186 0.027 0.500
Li4 0.314 0.527 0.000
Li5 0.351 0.184 0.000
Li6 0.487 0.683 0.500
Li7 0.513 0.317 0.500
Li8 0.649 0.816 0.000
Li9 0.686 0.473 0.000
Li10 0.814 0.973 0.500
Li11 0.851 0.316 0.500
Li12 0.987 0.817 0.000
Sn1 0.175 0.361 0.500
Sn2 0.325 0.861 0.000
Sn3 0.675 0.139 0.000
Sn4 0.825 0.639 0.500
Pd1 0.000 0.500 0.000
Pd2 0.500 0.000 0.500

No. 10
# K3Dy3BiTe8 | Alexandria via LeMat-Bulk | PBE-GGA | relaxed
# * volume: 574.7 Å³/f.u.
# * SG: C2/m (12)
# * total magnetization: 0.00 μB/f.u.
# * final energy: -4.188 eV/atom
data_K3Dy3BiTe8
_chemical_formula_sum 'K3 Dy3 Bi1 Te8'
_cell_length_a 8.870
_cell_length_b 8.870
_cell_length_c 9.897
_cell_angle_alpha 116.81
_cell_angle_beta 116.81
_cell_angle_gamma 59.80
_symmetry_space_group_name_H-M 'P 1'
_symmetry_Int_Tables_number 1
_symmetry_space_group_name_Hall 'P 1'
loop_
_atom_site_label
_atom_site_fract_x
_atom_site_fract_y
_atom_site_fract_z
K1 0.000 0.000 0.000
K2 0.000 0.500 0.000
K3 0.500 0.000 0.000
Dy1 0.000 0.500 0.500
Dy2 0.500 0.000 0.500
Dy3 0.500 0.500 0.500
Bi1 0.000 0.000 0.500
Te1 0.241 0.241 0.710
Te2 0.241 0.728 0.710
Te3 0.263 0.263 0.291
Te4 0.272 0.759 0.290
Te5 0.728 0.241 0.710
Te6 0.737 0.737 0.709
Te7 0.759 0.272 0.290
Te8 0.759 0.759 0.290

What is the formula in the first record?
YSbIr3